one.
Compound: V6CrGa2
Source: Alexandria
Functional: PBE
Structure: optimized geometry

Cell lengths 6.466, 6.466, 4.457 Å; angles 109.13, 109.13, 46.87 degrees
Element x y z (fractional)
V (0.141, 0.657, 0.894)
V (0.207, 0.207, 0.711)
V (0.343, 0.859, 0.106)
V (0.657, 0.141, 0.894)
V (0.793, 0.793, 0.289)
V (0.859, 0.343, 0.106)
Cr (0.000, 0.000, 0.500)
Ga (0.350, 0.350, 0.346)
Ga (0.650, 0.650, 0.654)

Values from the calculation:
Symmetry: C2/m (12)

=====

two.
Compound: V6CrGa2
Source: Alexandria
Functional: PBE
Structure: optimized geometry

Cell lengths 4.268, 4.268, 7.801 Å; angles 90.36, 90.36, 59.15 degrees
Element x y z (fractional)
V (0.004, 0.004, 0.306)
V (0.330, 0.330, 0.778)
V (0.335, 0.335, 0.104)
V (0.665, 0.665, 0.896)
V (0.670, 0.670, 0.222)
V (0.996, 0.996, 0.694)
Cr (0.000, 0.000, 0.000)
Ga (0.336, 0.336, 0.435)
Ga (0.664, 0.664, 0.565)

Values from the calculation:
Symmetry: C2/m (12)

=====

Which of them is most stable? Easy: two.

=====

one.
Compound: YCr3Ga
Source: Alexandria
Functional: PBE
Structure: optimized geometry

Cell lengths 4.710, 4.710, 4.710 Å; angles 90.00, 90.00, 90.00 degrees
Element x y z (fractional)
Y (0.000, 0.000, 0.000)
Cr (0.000, 0.500, 0.500)
Cr (0.500, 0.000, 0.500)
Cr (0.500, 0.500, 0.000)
Ga (0.500, 0.500, 0.500)

Values from the calculation:
Symmetry: Pm-3m (221)

=====

two.
Compound: YCr3Ga
Source: Alexandria
Functional: PBE
Structure: optimized geometry

Cell lengths 4.955, 4.955, 4.955 Å; angles 90.00, 90.00, 90.00 degrees
Element x y z (fractional)
Y (0.000, 0.000, 0.000)
Cr (0.000, 0.000, 0.500)
Cr (0.000, 0.500, 0.000)
Cr (0.500, 0.000, 0.000)
Ga (0.500, 0.500, 0.500)

Values from the calculation:
Symmetry: Pm-3m (221)

=====

Which of them is most stable? Easy: one.